## Cu2Ni2Hg (PBE-GGA)

Data for an optimized crystal structure of Cu2Ni2Hg.

Values from the calculation:
DFT total energy = -3.799 eV/atom
Density = 10.95 g cm⁻³
Calculated formation energy = 102 kJ/mol of formula units

Unit cell a=6.9597 b=6.9597 c=2.7876 alpha=90.00 beta=90.00 gamma=90.00
Sites, in units of the cell vectors:
Ni 0.1669 0.6669 0.5000
Ni 0.6669 0.8331 0.5000
Ni 0.3331 0.1669 0.5000
Ni 0.8331 0.3331 0.5000
Hg 0.0000 0.0000 0.0000
Hg 0.5000 0.5000 0.0000
Cu 0.3737 0.8737 0.0000
Cu 0.1263 0.3737 0.0000
Cu 0.6263 0.1263 0.0000
Cu 0.8737 0.6263 0.0000